The following is a DFT calculation (GGA-PBE) of a geometry-optimized YScSn3 structure.

The structure belongs to space group Pm-3m (No. 221); the cell edges are 5.3813, 5.3813 and 5.3813 Å and the angles 90.00°, 90.00° and 90.00°. The distinct sites, in fractional coordinates, are Y at (0.0000, 0.0000, 0.0000), Sc at (0.5000, 0.5000, 0.5000) and Sn at (0.0000, 0.5000, 0.5000).

For the relative energy among the computed polymorphs, the calculation gives 0.0 meV/atom. Its crystal system is cubic. Its total energy is -24.54 eV per cell. The density is 5.22 g/cm3. The value obtained for the spin magnetization is 0.000 μB/atom.